Record 1
Computed, not measured: an optimized crystal structure of LaGeRu at the GGA-PBE level of DFT.

abc: 4.3577 4.3500 8.3119
angles: 90.00 121.71 90.00
Element x y z (fractional)
1 Ru 0.7540 0.7478 0.5020
2 Ru 0.2536 0.2478 0.5012
3 Ge 0.4386 0.7477 0.6861
4 La 0.0647 0.2478 0.8114
5 Ge 0.5691 0.2478 0.3171
6 La 0.9431 0.7477 0.1919

Properties
Theoretical density   7.75 Mg/m³
Electronic total energy   -6.975 eV per atom
Energy relative to the elements   -16.2 kcal/mol of atoms
Total moment   0.00 μB/f.u.

=====

Record 2
Computed, not measured: an optimized crystal structure of Ac2Zn3Ga4Si at the GGA-PBE level of DFT.

abc: 4.4851 4.4851 10.4564
angles: 90.00 90.00 90.00
Element x y z (fractional)
1 Ac 0.0000 0.5000 0.7479
2 Si 0.5000 0.5000 0.5000
3 Ga 0.0000 0.5000 0.3716
4 Ga 0.5000 0.0000 0.6284
5 Ga 0.0000 0.0000 0.0000
6 Zn 0.0000 0.5000 0.1289
7 Ga 0.5000 0.5000 0.0000
8 Ac 0.5000 0.0000 0.2521
9 Zn 0.0000 0.0000 0.5000
10 Zn 0.5000 0.0000 0.8711

Properties
Theoretical density   7.56 Mg/m³
Electronic total energy   -3.391 eV per atom
Total moment   0.00 μB/f.u.
Formation energy from raw total energies   -4.34 eV per formula unit

=====

Record 3
Computed, not measured: an optimized crystal structure of In2SbRh at the GGA-PBE level of DFT.

abc: 3.1811 6.7527 5.0792
angles: 67.86 90.00 90.00
Element x y z (fractional)
1 Sb 0.5000 0.5000 0.0000
2 In 0.0000 0.8604 0.3195
3 In 0.0000 0.1396 0.6805
4 Rh 0.5000 0.5000 0.5000

Properties
Theoretical density   7.46 Mg/m³
Electronic total energy   -4.301 eV per atom
Total moment   0.00 μB/f.u.
Formation energy from raw total energies   -0.25 eV per formula unit

=====

Record 4
Computed, not measured: an optimized crystal structure of Nb4AlGa5 at the GGA-PBE level of DFT.

abc: 5.3239 6.3250 6.3250
angles: 79.80 65.11 65.11
Element x y z (fractional)
1 Nb 0.1497 0.2241 0.3793
2 Al 0.2171 0.0000 0.0000
3 Nb 0.7530 0.7759 0.6207
4 Ga 0.6790 0.0000 0.0000
5 Nb 0.5290 0.6207 0.2241
6 Nb 0.3737 0.3793 0.7759
7 Ga 0.6860 0.1719 0.3605
8 Ga 0.2184 0.8281 0.6395
9 Ga 0.8579 0.3605 0.8281
10 Ga 0.0465 0.6395 0.1719

Properties
Theoretical density   7.08 Mg/m³
Electronic total energy   -5.884 eV per atom
Energy relative to the elements   0.7 kcal/mol of atoms
Total moment   0.00 μB/f.u.

=====

Record 5
Computed, not measured: an optimized crystal structure of BeInCl2 at the GGA-PBE level of DFT.

abc: 6.0441 6.0441 6.0460
angles: 148.20 104.92 83.82
Element x y z (fractional)
1 Cl 0.9030 0.9030 0.0000
2 Cl 0.2987 0.7987 0.5000
3 Be 0.7639 0.2639 0.5000
4 In 0.5344 0.5344 0.0000

Properties
Theoretical density   2.95 Mg/m³
Electronic total energy   -2.960 eV per atom
Total moment   0.00 μB/f.u.
Formation energy from raw total energies   -1.68 eV per formula unit

=====

Record 6
Computed, not measured: an optimized crystal structure of Sn5GeCl12 at the GGA-PBE level of DFT.

abc: 7.3391 7.3391 13.1402
angles: 90.00 90.00 120.22
Element x y z (fractional)
1 Cl 0.6844 0.0004 0.1103
2 Sn 0.6667 0.3333 0.0000
3 Cl 0.9996 0.3156 0.8897
4 Cl 0.5009 0.1674 0.3840
5 Cl 0.3168 0.3168 0.1102
6 Sn 0.5000 0.5000 0.5000
7 Ge 0.0000 0.0000 0.0000
8 Cl 0.8338 0.8338 0.3843
9 Cl 0.0004 0.6844 0.1103
10 Cl 0.1674 0.5009 0.3840
11 Cl 0.3156 0.9996 0.8897
12 Cl 0.8326 0.4991 0.6160
13 Sn 0.1666 0.8334 0.5000
14 Sn 0.8334 0.1666 0.5000
15 Cl 0.4991 0.8326 0.6160
16 Sn 0.3333 0.6667 0.0000
17 Cl 0.1662 0.1662 0.6157
18 Cl 0.6832 0.6832 0.8898

Properties
Theoretical density   2.96 Mg/m³
Electronic total energy   -3.529 eV per atom
Total moment   0.00 μB/f.u.
Formation energy from raw total energies   -16.74 eV per formula unit

=====

> Which value of total moment does entry 6 give?

0.00 μB/f.u.